# BaRhCl2, relaxed, DFT PBE
data_BaRhCl2
_chemical_formula_sum 'Ba4 Rh4 Cl8'
_symmetry_space_group_name_H-M 'F -4 3 m'
_symmetry_Int_Tables_number 216
_symmetry_space_group_name_Hall 'F -4 2 3'
_cell_length_a 7.316
_cell_length_b 7.316
_cell_length_c 7.316
_cell_angle_alpha 90.00
_cell_angle_beta 90.00
_cell_angle_gamma 90.00
loop_
_atom_site_label
_atom_site_type_symbol
_atom_site_fract_x
_atom_site_fract_y
_atom_site_fract_z
Ba1 Ba 0.000 0.000 0.000
Rh1 Rh 0.250 0.250 0.250
Cl1 Cl 0.000 0.000 0.500
Cl2 Cl 0.250 0.250 0.750
# Total magnetization: 1.01 μB/f.u.
# Formation energy (no corrections): -0.5517 eV per atom
# ΔE to the lowest computed polymorph: 2.13 eV/f.u.

# LiP2W, relaxed, DFT PBE
data_LiP2W
_chemical_formula_sum 'Li2 P4 W2'
_symmetry_space_group_name_H-M 'C 1 m 1'
_symmetry_Int_Tables_number 8
_cell_length_a 8.788
_cell_length_b 3.166
_cell_length_c 4.114
_cell_angle_alpha 90.00
_cell_angle_beta 98.73
_cell_angle_gamma 90.00
loop_
_symmetry_equiv_pos_as_xyz
'x,y,z'
'x,-y,z'
'x+1/2,y+1/2,z'
'x+1/2,-y+1/2,z'
loop_
_atom_site_label
_atom_site_type_symbol
_atom_site_fract_x
_atom_site_fract_y
_atom_site_fract_z
Li1 Li 0.000 0.000 0.000
P1 P 0.270 0.000 0.993
P2 P 0.451 0.000 0.459
W1 W 0.240 0.500 0.513
# Total magnetization: 0.00 μB/f.u.
# ΔE_f: -0.168 eV per atom
# ΔE to the lowest computed polymorph: 0.69 eV/f.u.

> What is the total magnetization in the first record?

1.01 μB/f.u.